(1)
Computed, not measured: a relaxed structure of Re2SbOs at the PBE level of DFT.

The value obtained for the total moment is 0.00 μB/cell. The value obtained for the uncorrected formation energy is 0.65 eV per atom. Its crystal system is orthorhombic.

Cell and atoms, written as POSCAR:
```
Re2SbOs
1.0
-1.541 2.277 4.592
1.541 -2.277 4.592
1.541 2.277 -4.592
Re Sb Os
2 1 1
Direct
0.232 0.232 0.000
0.768 0.768 0.000
0.000 0.500 0.500
0.500 0.000 0.500
```

=====

(2)
Computed, not measured: a relaxed structure of BaHgP2S8 at the PBE level of DFT.

The value obtained for the total moment is 0.29 μB/cell. The value obtained for the uncorrected formation energy is -0.38 eV per atom. Its crystal system is trigonal.

Cell and atoms, written as POSCAR:
```
BaHgP2S8
1.0
5.966 0.000 0.000
-2.983 5.166 0.000
0.000 0.000 9.430
Ba Hg P S
1 1 2 8
Direct
0.000 0.000 0.000
0.000 0.000 0.500
0.333 0.667 0.755
0.667 0.333 0.245
0.003 0.657 0.309
0.333 0.667 0.970
0.343 0.345 0.309
0.345 0.003 0.691
0.655 0.997 0.309
0.657 0.655 0.691
0.667 0.333 0.030
0.997 0.343 0.691
```

=====

(3)
Computed, not measured: a relaxed structure of Zn2Co2Ge at the PBE level of DFT.

Its distance to the lowest polymorph of the same formula is 21.2 meV per atom. The calculation puts the formation energy at -0.06 eV per atom. The value obtained for the total moment is 0.00 μB/cell. Its crystal system is tetragonal.

Cell and atoms, written as POSCAR:
```
Zn2Co2Ge
1.0
5.900 0.000 0.000
0.000 5.900 0.000
0.000 0.000 3.869
Zn Co Ge
4 4 2
Direct
0.156 0.344 0.000
0.344 0.844 0.000
0.656 0.156 0.000
0.844 0.656 0.000
0.143 0.643 0.500
0.357 0.143 0.500
0.643 0.857 0.500
0.857 0.357 0.500
0.000 0.000 0.500
0.500 0.500 0.500
```

=====

(4)
Computed, not measured: a relaxed structure of YSc2Mo at the PBE level of DFT.

Its distance to the lowest polymorph of the same formula is 174.4 meV per atom. The calculation puts the formation energy at 0.32 eV per atom. The value obtained for the total moment is 0.00 μB/cell. Its crystal system is orthorhombic.

Cell and atoms, written as POSCAR:
```
YSc2Mo
1.0
3.128 -4.476 0.000
3.128 4.476 0.000
0.000 0.000 3.178
Y Sc Mo
1 2 1
Direct
0.000 0.000 0.000
0.000 0.500 0.500
0.500 0.000 0.500
0.500 0.500 0.000
```

=====

(5)
Computed, not measured: a relaxed structure of Pm2Ho2Sn3 at the PBE level of DFT.

The calculation puts the formation energy at -0.40 eV per atom. The value obtained for the total moment is 0.00 μB/cell. Its crystal system is monoclinic.

Cell and atoms, written as POSCAR:
```
Pm2Ho2Sn3
1.0
7.858 -1.829 0.000
7.858 1.829 0.000
-2.084 0.000 7.801
Pm Ho Sn
2 2 3
Direct
0.110 0.110 0.389
0.890 0.890 0.611
0.368 0.368 0.119
0.632 0.632 0.881
0.000 0.000 0.000
0.255 0.255 0.741
0.745 0.745 0.259
```

=====

(6)
Computed, not measured: a relaxed structure of SmTm2Bi at the PBE level of DFT.

Its distance to the lowest polymorph of the same formula is 125.4 meV per atom. The calculation puts the formation energy at -0.32 eV per atom. The value obtained for the total moment is 0.00 μB/cell. Its crystal system is tetragonal.

Cell and atoms, written as POSCAR:
```
SmTm2Bi
1.0
4.868 0.000 0.000
0.000 4.868 0.000
0.000 0.000 4.855
Sm Tm Bi
1 2 1
Direct
0.000 0.000 0.000
0.000 0.500 0.500
0.500 0.000 0.500
0.500 0.500 0.000
```

=====

(7)
Computed, not measured: a relaxed structure of Ba7Ir2Br2 at the PBE level of DFT.

The value obtained for the total moment is 0.00 μB/cell. The value obtained for the uncorrected formation energy is -0.51 eV per atom. Its crystal system is monoclinic.

Cell and atoms, written as POSCAR:
```
Ba7Ir2Br2
1.0
4.926 -6.888 0.000
4.926 6.888 0.000
-1.018 0.000 8.619
Ba Ir Br
7 2 2
Direct
0.000 0.000 0.000
0.060 0.454 0.764
0.425 0.425 0.207
0.454 0.060 0.764
0.546 0.940 0.236
0.575 0.575 0.793
0.940 0.546 0.236
0.277 0.277 0.878
0.723 0.723 0.122
0.301 0.699 0.500
0.699 0.301 0.500
```

=====

(8)
Computed, not measured: a relaxed structure of BaTbInCl6 at the PBE level of DFT.

The value obtained for the total moment is 0.00 μB/cell. The value obtained for the uncorrected formation energy is -2.04 eV per atom. Its crystal system is trigonal.

Cell and atoms, written as POSCAR:
```
BaTbInCl6
1.0
7.675 0.000 0.000
-3.837 6.647 0.000
0.000 0.000 12.858
Ba Tb In Cl
2 2 2 12
Direct
0.333 0.667 0.250
0.667 0.333 0.750
0.333 0.667 0.750
0.667 0.333 0.250
0.000 0.000 0.000
0.000 0.000 0.500
0.042 0.383 0.633
0.042 0.659 0.867
0.341 0.383 0.867
0.341 0.958 0.633
0.383 0.042 0.133
0.383 0.341 0.367
0.617 0.659 0.633
0.617 0.958 0.867
0.659 0.042 0.367
0.659 0.617 0.133
0.958 0.341 0.133
0.958 0.617 0.367
```

=====

(9)
Computed, not measured: a relaxed structure of GdZrOs at the PBE level of DFT.

Its distance to the lowest polymorph of the same formula is 0.0 meV per atom. The calculation puts the formation energy at -0.16 eV per atom. The value obtained for the total moment is 8.12 μB/cell. Its crystal system is tetragonal.

Cell and atoms, written as POSCAR:
```
GdZrOs
1.0
-1.678 1.678 5.924
1.678 -1.678 5.924
1.678 1.678 -5.924
Gd Zr Os
1 1 1
Direct
0.000 0.000 0.000
0.282 0.282 0.000
0.660 0.660 0.000
```

=====

(10)
Computed, not measured: a relaxed structure of Al2TcI at the PBE level of DFT.

Its distance to the lowest polymorph of the same formula is 12.2 meV per atom. The value obtained for the total moment is 0.00 μB/cell. The value obtained for the uncorrected formation energy is 0.81 eV per atom. Its crystal system is cubic.

Cell and atoms, written as POSCAR:
```
Al2TcI
1.0
0.000 3.293 3.293
3.293 0.000 3.293
3.293 3.293 0.000
Al Tc I
2 1 1
Direct
0.250 0.250 0.250
0.750 0.750 0.750
0.000 0.000 0.000
0.500 0.500 0.500
```

=====

(11)
Computed, not measured: a relaxed structure of BaHoP2S8 at the PBE level of DFT.

The value obtained for the total moment is 0.17 μB/cell. The value obtained for the uncorrected formation energy is -0.85 eV per atom. Its crystal system is trigonal.

Cell and atoms, written as POSCAR:
```
BaHoP2S8
1.0
6.078 0.000 0.000
-3.039 5.263 0.000
0.000 0.000 9.239
Ba Ho P S
1 1 2 8
Direct
0.000 0.000 0.000
0.000 0.000 0.500
0.333 0.667 0.751
0.667 0.333 0.249
0.003 0.347 0.690
0.333 0.667 0.972
0.345 0.997 0.690
0.347 0.345 0.310
0.653 0.655 0.690
0.655 0.003 0.310
0.667 0.333 0.028
0.997 0.653 0.310
```

=====

(12)
Computed, not measured: a relaxed structure of RbOs3S at the PBE level of DFT.

Its distance to the lowest polymorph of the same formula is 2798.1 meV per atom. The value obtained for the total moment is 6.33 μB/cell. The value obtained for the uncorrected formation energy is 4.41 eV per atom. Its crystal system is cubic.

Cell and atoms, written as POSCAR:
```
RbOs3S
1.0
4.879 0.000 0.000
0.000 4.879 0.000
0.000 0.000 4.879
Rb Os S
1 3 1
Direct
0.000 0.000 0.000
0.000 0.000 0.500
0.000 0.500 0.000
0.500 0.000 0.000
0.500 0.500 0.500
```